1.
PrErGeRh (PBE, relaxed); DFT formation energy = -644 meV per atom; uncorrected energy = -23.9 eV per cell; volume = 22.64 Å³/atom
1.0
0.0000 3.5642 3.5642
3.5642 0.0000 3.5642
3.5642 3.5642 0.0000
Pr Er Ge Rh
1 1 1 1
Direct
0.0000 0.0000 0.0000
0.5000 0.5000 0.5000
0.2500 0.2500 0.2500
0.7500 0.7500 0.7500

2.
Pr2ErGe3Rh4 (PBE, relaxed); DFT formation energy = -886 meV per atom; uncorrected energy = -66.2 eV per cell; volume = 19.76 Å³/atom
1.0
4.2044 0.0000 0.0000
0.0000 4.2044 0.0000
0.0000 0.0000 11.1761
Pr Er Ge Rh
2 1 3 4
Direct
0.0000 0.5000 0.2315
0.5000 0.0000 0.7685
0.0000 0.0000 0.5000
0.0000 0.5000 0.8786
0.5000 0.0000 0.1214
0.5000 0.5000 0.5000
0.0000 0.0000 0.0000
0.0000 0.5000 0.6558
0.5000 0.0000 0.3442
0.5000 0.5000 0.0000

3.
PrErGeS (PBE, relaxed); formation energy without anion corrections = -1.419 eV/atom; uncorrected energy = -23.8 eV per cell; volume = 24.84 Å³/atom
1.0
2.0596 1.1891 6.7612
-2.0596 1.1891 6.7612
0.0000 -2.3783 6.7612
Pr Er Ge S
1 1 1 1
Direct
0.0000 0.0000 0.0000
0.4998 0.4998 0.4998
0.2457 0.2457 0.2457
0.7554 0.7554 0.7554

4.
PrErZnGe (PBE, relaxed); DFT formation energy = -504 meV per atom; uncorrected energy = -17.2 eV per cell; volume = 23.55 Å³/atom
1.0
0.0000 3.6115 3.6115
3.6115 0.0000 3.6115
3.6115 3.6115 0.0000
Pr Er Zn Ge
1 1 1 1
Direct
0.0000 0.0000 0.0000
0.5000 0.5000 0.5000
0.2500 0.2500 0.2500
0.7500 0.7500 0.7500

M_tot, respectively: 0.0; 0.0; 0.0; 0.0 μB/cell.